First-principles (SCAN) data for a PBEsol-optimized structure of HfZrCo2, as listed in Alexandria via LeMat-Bulk.

Cell lengths 4.4076, 4.4076, 4.4076 Å; angles 60.00, 60.00, 60.00 degrees
Last column: nearest neighbours and their distance in Å.
Atoms (fractional coordinates):
Co (0.2500, 0.2500, 0.2500)  4 Hf 2.70, 4 Zr 2.70
Zr (0.0000, 0.0000, 0.0000)  8 Co 2.70
Hf (0.5000, 0.5000, 0.5000)  8 Co 2.70
Co (0.7500, 0.7500, 0.7500)  4 Hf 2.70, 4 Zr 2.70

For the density of states at the Fermi level, the calculation gives 1.74 states/eV per cell. Its total magnetic moment is 1.99 μB/f.u. As for the total energy: -32.431 eV/atom. For the formation energy, the calculation gives -0.4355 eV per atom.

***

First-principles (SCAN) data for a PBEsol-optimized structure of CoHg, as listed in Alexandria via LeMat-Bulk.

Cell lengths 2.8728, 4.5833, 5.1230 Å; angles 108.12, 106.28, 90.00 degrees
Last column: nearest neighbours and their distance in Å.
Atoms (fractional coordinates):
Hg (0.3938, 0.1699, 0.7876)  7 Co 2.72-2.83, 3 Hg 2.87-2.98
Hg (0.6062, 0.8301, 0.2124)  7 Co 2.72-2.83, 3 Hg 2.87-2.98
Co (0.1553, 0.3704, 0.3105)  2 Co 2.35
Co (0.8447, 0.6296, 0.6895)  2 Co 2.35

For the density of states at the Fermi level, the calculation gives 1.96 states/eV per cell. Its total magnetic moment is 1.80 μB/f.u. As for the total energy: -42.301 eV/atom. For the formation energy, the calculation gives 0.4344 eV per atom.

***

First-principles (SCAN) data for a PBEsol-optimized structure of CoHg2, as listed in Alexandria via LeMat-Bulk.

Cell lengths 5.4834, 5.4834, 5.4834 Å; angles 60.00, 60.00, 60.00 degrees
Last column: nearest neighbours and their distance in Å.
Atoms (fractional coordinates):
Hg (0.6250, 0.1250, 0.1250)  6 Hg 2.74
Co (0.5000, 0.5000, 0.5000)  12 Hg 3.21, 4 Co 3.36
Hg (0.1250, 0.6250, 0.1250)  6 Hg 2.74
Hg (0.1250, 0.1250, 0.6250)  6 Hg 2.74
Hg (0.1250, 0.1250, 0.1250)  6 Hg 2.74
Co (0.7500, 0.7500, 0.7500)  12 Hg 3.21, 4 Co 3.36

For the density of states at the Fermi level, the calculation gives 7.43 states/eV per cell. Its total magnetic moment is 1.94 μB/f.u. As for the total energy: -50.202 eV/atom. For the formation energy, the calculation gives 1.0098 eV per atom.

***

First-principles (SCAN) data for a PBEsol-optimized structure of Co3Hg, as listed in Alexandria via LeMat-Bulk.

Cell lengths 2.7190, 4.4449, 4.4449 Å; angles 107.81, 90.00, 90.00 degrees
Last column: nearest neighbours and their distance in Å.
Atoms (fractional coordinates):
Co (0.5000, 0.5000, 0.0000)  8 Co 2.61-2.72, 4 Hg 2.61
Hg (0.0000, 0.5000, 0.5000)  10 Co 2.61-2.62, 2 Hg 2.72
Co (0.0000, 0.0000, 0.0000)  10 Co 2.61-2.72, 2 Hg 2.62
Co (0.5000, 0.0000, 0.5000)  4 Hg 2.61, 8 Co 2.61-2.72

For the density of states at the Fermi level, the calculation gives 2.41 states/eV per cell. Its total magnetic moment is 5.26 μB/f.u. As for the total energy: -29.646 eV/atom. For the formation energy, the calculation gives 0.3734 eV per atom.

***

First-principles (SCAN) data for a PBEsol-optimized structure of Co3Hg, as listed in Alexandria via LeMat-Bulk.

Cell lengths 2.6871, 2.6871, 8.4968 Å; angles 80.90, 80.90, 60.00 degrees
Last column: nearest neighbours and their distance in Å.
Atoms (fractional coordinates):
Co (0.5000, 0.5000, 0.5000)  12 Co 2.40-2.69
Co (0.2400, 0.2400, 0.2800)  9 Co 2.40-2.69
Co (0.7600, 0.7600, 0.7200)  9 Co 2.40-2.69
Hg (0.0000, 0.0000, 0.0000)  6 Hg 2.69, 6 Co 2.81

For the density of states at the Fermi level, the calculation gives 3.04 states/eV per cell. Its total magnetic moment is 5.39 μB/f.u. As for the total energy: -29.559 eV/atom. For the formation energy, the calculation gives 0.4603 eV per atom.

***

First-principles (SCAN) data for a PBEsol-optimized structure of CoHg3, as listed in Alexandria via LeMat-Bulk.

Cell lengths 3.0766, 3.0766, 9.3866 Å; angles 80.57, 80.57, 60.00 degrees
Last column: nearest neighbours and their distance in Å.
Atoms (fractional coordinates):
Hg (0.7388, 0.7388, 0.7836)  3 Co 2.67
Co (0.0000, 0.0000, 0.0000)  6 Hg 2.67
Hg (0.2612, 0.2612, 0.2164)  3 Co 2.67
Hg (0.5000, 0.5000, 0.5000)  12 Hg 3.08-3.16

For the density of states at the Fermi level, the calculation gives 1.36 states/eV per cell. Its total magnetic moment is 1.80 μB/f.u. As for the total energy: -55.166 eV/atom. For the formation energy, the calculation gives 0.2845 eV per atom.

***

First-principles (SCAN) data for a PBEsol-optimized structure of CoHg, as listed in Alexandria via LeMat-Bulk.

Cell lengths 2.8724, 2.8724, 7.5356 Å; angles 90.00, 90.00, 90.00 degrees
Last column: nearest neighbours and their distance in Å.
Atoms (fractional coordinates):
Hg (0.0000, 0.5000, 0.6682)  4 Co 2.77, 4 Hg 2.87
Co (0.5000, 0.0000, 0.9189)  4 Co 2.37
Co (0.0000, 0.5000, 0.0811)  4 Co 2.37
Hg (0.5000, 0.0000, 0.3318)  4 Co 2.77, 4 Hg 2.87

For the density of states at the Fermi level, the calculation gives 1.97 states/eV per cell. Its total magnetic moment is 1.87 μB/f.u. As for the total energy: -42.401 eV/atom. For the formation energy, the calculation gives 0.3341 eV per atom.

***

First-principles (SCAN) data for a PBEsol-optimized structure of In2CoHg, as listed in Alexandria via LeMat-Bulk.

Cell lengths 3.1860, 3.1860, 8.9597 Å; angles 79.76, 79.76, 60.00 degrees
Last column: nearest neighbours and their distance in Å.
Atoms (fractional coordinates):
Hg (0.0000, 0.0000, 0.0000)  6 In 3.13, 6 Hg 3.19
Co (0.5000, 0.5000, 0.5000)  6 In 2.61
In (0.2371, 0.2371, 0.2888)  3 Co 2.61
In (0.7629, 0.7629, 0.7112)  3 Co 2.61

For the density of states at the Fermi level, the calculation gives 2.23 states/eV per cell. Its total magnetic moment is 1.31 μB/f.u. As for the total energy: -37.799 eV/atom. For the formation energy, the calculation gives 0.2618 eV per atom.